Record 1
Density functional theory data (PBE-GGA) for a relaxed TlRh2 crystal.

```
data_TlRh2
_cell_length_a 2.9951
_cell_length_b 2.9951
_cell_length_c 11.3220
_cell_angle_alpha 90.00
_cell_angle_beta 90.00
_cell_angle_gamma 90.00
_symmetry_space_group_name_H-M 'I 4/m m m'
_symmetry_Int_Tables_number 139
_symmetry_space_group_name_Hall '-I 4 2'
loop_
_atom_site_label
_atom_site_type_symbol
_atom_site_fract_x
_atom_site_fract_y
_atom_site_fract_z
Tl1 Tl 0.0000 0.0000 0.0000
Rh1 Rh 0.0000 0.0000 0.3240
```

Properties
As for the energy relative to the elements: 0.227 eV/atom.



Record 2
Density functional theory data (PBE-GGA) for a relaxed TePNF2 crystal.

```
data_TePNF2
_cell_length_a 4.4422
_cell_length_b 4.4422
_cell_length_c 4.2379
_cell_angle_alpha 90.00
_cell_angle_beta 90.00
_cell_angle_gamma 90.00
_symmetry_space_group_name_H-M 'P 4/m m m'
_symmetry_Int_Tables_number 123
_symmetry_space_group_name_Hall '-P 4 2'
loop_
_atom_site_label
_atom_site_type_symbol
_atom_site_fract_x
_atom_site_fract_y
_atom_site_fract_z
Te1 Te 0.0000 0.0000 0.0000
P1 P 0.5000 0.5000 0.5000
N1 N 0.0000 0.0000 0.5000
F1 F 0.0000 0.5000 0.0000
```



Magnetization across the listed records, respectively: 1.5; 2.0 μB/cell.
Final energy across the listed records, respectively: -5.463; -3.817 eV per atom.